No. 1
DFT (PBE) results for a relaxed structure of Gd2ErCo2B2C3.

Computed properties:
* crystal system: tetragonal
* total energy: -7.214 eV per atom
* total moment: 0.13 μB per atom

abc: 3.5676 3.5676 20.4357
angles: 90.00 90.00 90.00
Space group I4/mmm (No. 139)
Asymmetric unit:
Gd 0.0000 0.0000 0.1243 x4
Er 0.0000 0.0000 0.5000 x2
Co 0.0000 0.5000 0.2500 x4
B 0.0000 0.0000 0.3050 x4
C 0.0000 0.0000 0.0000 x2
C 0.0000 0.0000 0.3789 x4

=====

No. 2
DFT (PBE) results for a relaxed structure of HoErCo2B2C2.

Computed properties:
* crystal system: tetragonal
* total energy: -7.330 eV per atom
* total moment: 0.12 μB per atom

abc: 3.5192 3.5192 7.6266
angles: 90.00 90.00 90.00
Space group P4mm (No. 99)
Asymmetric unit:
Ho 0.0000 0.0000 0.0000 x1
Er 0.5000 0.5000 0.3308 x1
Co 0.0000 0.5000 0.6654 x2
B 0.0000 0.0000 0.5138 x1
B 0.5000 0.5000 0.8176 x1
C 0.0000 0.0000 0.3165 x1
C 0.5000 0.5000 0.0152 x1

=====

No. 3
DFT (PBE) results for a relaxed structure of Ho2ErCo2B2C3.

Computed properties:
* crystal system: tetragonal
* total energy: -7.239 eV per atom
* total moment: 0.14 μB per atom

abc: 3.5254 3.5254 20.4469
angles: 90.00 90.00 90.00
Space group I4/mmm (No. 139)
Asymmetric unit:
Ho 0.0000 0.0000 0.1235 x4
Er 0.0000 0.0000 0.5000 x2
Co 0.0000 0.5000 0.2500 x4
B 0.0000 0.0000 0.3063 x4
C 0.0000 0.0000 0.0000 x2
C 0.0000 0.0000 0.3799 x4

=====

No. 4
DFT (PBE) results for a relaxed structure of HoEr2Co2B2C3.

Computed properties:
* crystal system: tetragonal
* total energy: -7.241 eV per atom
* total moment: 0.14 μB per atom

abc: 3.5156 3.5156 20.5071
angles: 90.00 90.00 90.00
Space group I4/mmm (No. 139)
Asymmetric unit:
Ho 0.0000 0.0000 0.0000 x2
Er 0.0000 0.0000 0.3765 x4
Co 0.0000 0.5000 0.2500 x4
B 0.0000 0.0000 0.1937 x4
C 0.0000 0.0000 0.1203 x4
C 0.0000 0.0000 0.5000 x2

=====

No. 5
DFT (PBE) results for a relaxed structure of Tb2ErCo2B2C3.

Computed properties:
* crystal system: tetragonal
* total energy: -7.225 eV per atom
* total moment: 0.14 μB per atom

abc: 3.5486 3.5486 20.5070
angles: 90.00 90.00 90.00
Space group I4/mmm (No. 139)
Asymmetric unit:
Tb 0.0000 0.0000 0.1238 x4
Er 0.0000 0.0000 0.5000 x2
Co 0.0000 0.5000 0.2500 x4
B 0.0000 0.0000 0.3060 x4
C 0.0000 0.0000 0.0000 x2
C 0.0000 0.0000 0.3794 x4

=====

No. 6
DFT (PBE) results for a relaxed structure of Er2TmCo2B2C3.

Computed properties:
* crystal system: tetragonal
* total energy: -7.243 eV per atom
* total moment: 0.14 μB per atom

abc: 3.5018 3.5018 20.3576
angles: 90.00 90.00 90.00
Space group I4/mmm (No. 139)
Asymmetric unit:
Er 0.0000 0.0000 0.1230 x4
Tm 0.0000 0.0000 0.5000 x2
Co 0.0000 0.5000 0.2500 x4
B 0.0000 0.0000 0.3066 x4
C 0.0000 0.0000 0.0000 x2
C 0.0000 0.0000 0.3804 x4

=====

No. 7
DFT (PBE) results for a relaxed structure of Y2ErCo2B2C3.

Computed properties:
* crystal system: tetragonal
* total energy: -7.600 eV per atom
* total moment: 0.14 μB per atom

abc: 3.5404 3.5404 20.4480
angles: 90.00 90.00 90.00
Space group I4/mmm (No. 139)
Asymmetric unit:
Y 0.0000 0.0000 0.1235 x4
Er 0.0000 0.0000 0.5000 x2
Co 0.0000 0.5000 0.2500 x4
B 0.0000 0.0000 0.3061 x4
C 0.0000 0.0000 0.0000 x2
C 0.0000 0.0000 0.3798 x4

=====

No. 8
DFT (PBE) results for a relaxed structure of GdCo2B2C.

Computed properties:
* crystal system: tetragonal
* total energy: -7.340 eV per atom
* total moment: 0.01 μB per atom

abc: 3.5618 3.5618 10.2401
angles: 90.00 90.00 90.00
Space group I4/mmm (No. 139)
Asymmetric unit:
Gd 0.0000 0.0000 0.0000 x2
Co 0.0000 0.5000 0.2500 x4
B 0.0000 0.0000 0.3531 x4
C 0.0000 0.0000 0.5000 x2

=====

No. 9
DFT (PBE) results for a relaxed structure of Gd2HoCo2B2C3.

Computed properties:
* crystal system: tetragonal
* total energy: -7.211 eV per atom
* total moment: 0.14 μB per atom

abc: 3.5762 3.5762 20.5254
angles: 90.00 90.00 90.00
Space group I4/mmm (No. 139)
Asymmetric unit:
Gd 0.0000 0.0000 0.1246 x4
Ho 0.0000 0.0000 0.5000 x2
Co 0.0000 0.5000 0.2500 x4
B 0.0000 0.0000 0.3050 x4
C 0.0000 0.0000 0.0000 x2
C 0.0000 0.0000 0.3786 x4

=====

No. 10
DFT (PBE) results for a relaxed structure of Sm2GdCo2B2C3.

Computed properties:
* crystal system: tetragonal
* total energy: -7.160 eV per atom
* total moment: 0.00 μB per atom

abc: 3.6257 3.6257 20.6894
angles: 90.00 90.00 90.00
Space group I4/mmm (No. 139)
Asymmetric unit:
Sm 0.0000 0.0000 0.1259 x4
Gd 0.0000 0.0000 0.5000 x2
Co 0.0000 0.5000 0.2500 x4
B 0.0000 0.0000 0.3041 x4
C 0.0000 0.0000 0.0000 x2
C 0.0000 0.0000 0.3770 x4

=====

No. 11
DFT (PBE) results for a relaxed structure of TbGd2Co2B2C3.

Computed properties:
* crystal system: tetragonal
* total energy: -7.202 eV per atom
* total moment: 0.13 μB per atom

abc: 3.5783 3.5783 20.5492
angles: 90.00 90.00 90.00
Space group I4/mmm (No. 139)
Asymmetric unit:
Tb 0.0000 0.0000 0.0000 x2
Gd 0.0000 0.0000 0.3746 x4
Co 0.0000 0.5000 0.2500 x4
B 0.0000 0.0000 0.1954 x4
C 0.0000 0.0000 0.1221 x4
C 0.0000 0.0000 0.5000 x2

=====

No. 12
DFT (PBE) results for a relaxed structure of Gd2TmCo2B2C3.

Computed properties:
* crystal system: tetragonal
* total energy: -7.210 eV per atom
* total moment: 0.14 μB per atom

abc: 3.5669 3.5669 20.4384
angles: 90.00 90.00 90.00
Space group I4/mmm (No. 139)
Asymmetric unit:
Gd 0.0000 0.0000 0.1239 x4
Tm 0.0000 0.0000 0.5000 x2
Co 0.0000 0.5000 0.2500 x4
B 0.0000 0.0000 0.3060 x4
C 0.0000 0.0000 0.0000 x2
C 0.0000 0.0000 0.3797 x4

=====

> Number 1 is which compound?

Gd2ErCo2B2C3